No. 1
Density functional theory data (PBE-GGA) for Rb2Hg2PdBr2Cl6 after structural relaxation.

Cell and atoms, written as POSCAR:
```
Rb2Hg2PdBr2Cl6
1.0
5.876 -3.474 0.000
5.876 3.474 0.000
-3.216 0.000 9.608
Br Cl Hg Pd Rb
2 6 2 1 2
direct
0.649 0.649 0.498
0.351 0.351 0.502
0.893 0.364 0.132
0.364 0.893 0.132
0.917 0.917 0.309
0.083 0.083 0.691
0.636 0.107 0.868
0.107 0.636 0.868
0.129 0.129 0.394
0.871 0.871 0.606
0.000 0.000 0.000
0.390 0.390 0.159
0.610 0.610 0.841
```

The calculation puts the final energy at -2.69 eV/atom.

***

No. 2
Density functional theory data (PBE-GGA) for SiOs2Pd after structural relaxation.

Cell and atoms, written as POSCAR:
```
SiOs2Pd
1.0
4.206 0.015 1.028
1.232 -0.728 4.087
1.989 -3.705 1.035
Os Pd Si
2 1 1
direct
0.000 0.000 0.000
0.750 0.750 0.750
0.250 0.250 0.250
0.500 0.500 0.500
```

The calculation puts the final energy at -7.91 eV/atom. The total magnetization comes out at 0.018 μB/f.u.

***

No. 3
Density functional theory data (PBE-GGA) for ZrZnFeAg after structural relaxation.

Cell and atoms, written as POSCAR:
```
ZrZnFeAg
1.0
2.688 -3.636 0.403
-1.016 -3.252 2.999
-1.436 -4.055 -1.448
Ag Fe Zn Zr
1 1 1 1
direct
0.250 0.250 0.250
0.750 0.750 0.750
0.000 0.000 0.000
0.500 0.500 0.500
```

Its formation enthalpy at 0 K is 7.51 kJ per mole of atoms. The total magnetization comes out at 1.553 μB/f.u.

***

No. 4
Density functional theory data (PBE-GGA) for RbPrIr after structural relaxation.

Cell and atoms, written as POSCAR:
```
RbPrIr
1.0
2.860 -0.452 4.189
4.873 -1.428 -0.386
3.718 3.357 0.920
Ir Pr Rb
1 1 1
direct
0.000 0.000 0.000
0.750 0.750 0.750
0.250 0.250 0.250
```

The calculation puts the final energy at -4.50 eV/atom. The total magnetization comes out at 0.074 μB/f.u.

***

No. 5
Density functional theory data (PBE-GGA) for Cu7Ag3 after structural relaxation.

Cell and atoms, written as POSCAR:
```
Cu7Ag3
1.0
4.240 -1.902 0.000
4.240 1.902 0.000
-0.023 0.000 8.531
Ag Cu
3 7
direct
0.608 0.608 0.288
0.000 0.000 0.500
0.392 0.392 0.712
0.500 0.500 0.000
0.208 0.208 0.091
0.904 0.904 0.183
0.303 0.303 0.390
0.697 0.697 0.610
0.096 0.096 0.817
0.792 0.792 0.909
```

Its formation enthalpy at 0 K is 7.93 kJ per mole of atoms.

***

No. 6
Density functional theory data (PBE-GGA) for CdAgSb after structural relaxation.

Cell and atoms, written as POSCAR:
```
CdAgSb
1.0
-5.846 2.867 3.600
-2.159 -0.064 -3.455
-2.907 -8.403 1.973
Ag Cd Sb
4 4 4
direct
0.264 0.250 0.139
0.764 0.250 0.361
0.236 0.750 0.639
0.736 0.750 0.861
0.874 0.250 0.062
0.374 0.250 0.438
0.626 0.750 0.562
0.126 0.750 0.938
0.571 0.750 0.157
0.071 0.750 0.343
0.929 0.250 0.657
0.429 0.250 0.843
```

The calculation puts the final energy at -2.55 eV/atom.

***

No. 7
Density functional theory data (PBE-GGA) for UCdPd after structural relaxation.

Cell and atoms, written as POSCAR:
```
UCdPd
1.0
0.000 3.418 3.418
3.418 0.000 3.418
3.418 3.418 0.000
Cd Pd U
1 1 1
direct
0.250 0.250 0.250
0.750 0.750 0.750
0.000 0.000 0.000
```

Its formation enthalpy at 0 K is 65.21 kJ per mole of atoms. The total magnetization comes out at 3.023 μB/f.u.

***

No. 8
Density functional theory data (PBE-GGA) for LiBePbAu after structural relaxation.

Cell and atoms, written as POSCAR:
```
LiBePbAu
1.0
2.069 -3.925 1.371
-2.448 -3.936 0.290
0.738 -3.424 -3.049
Au Be Li Pb
1 1 1 1
direct
0.750 0.750 0.750
0.500 0.500 0.500
0.250 0.250 0.250
0.000 0.000 0.000
```

The calculation puts the final energy at -3.02 eV/atom.

***

No. 9
Density functional theory data (PBE-GGA) for GdTlRe after structural relaxation.

Cell and atoms, written as POSCAR:
```
GdTlRe
1.0
0.000 3.359 3.359
3.359 0.000 3.359
3.359 3.359 0.000
Gd Re Tl
1 1 1
direct
0.250 0.250 0.250
0.750 0.750 0.750
0.000 0.000 0.000
```

The calculation puts the final energy at -5.52 eV/atom. The total magnetization comes out at 0.497 μB/f.u.

***

No. 10
Density functional theory data (PBE-GGA) for CoCuAgBi after structural relaxation.

Cell and atoms, written as POSCAR:
```
CoCuAgBi
1.0
0.000 3.229 3.229
3.229 0.000 3.229
3.229 3.229 0.000
Ag Bi Co Cu
1 1 1 1
direct
0.500 0.500 0.500
0.000 0.000 0.000
0.750 0.750 0.750
0.250 0.250 0.250
```

The calculation puts the final energy at -4.06 eV/atom. The total magnetization comes out at 1.084 μB/f.u.

***

No. 11
Density functional theory data (PBE-GGA) for Li2ZnCd2GaAu2 after structural relaxation.

Cell and atoms, written as POSCAR:
```
Li2ZnCd2GaAu2
1.0
-3.784 2.554 -0.301
-1.348 -1.515 4.101
3.097 4.924 2.837
Au Cd Ga Li Zn
2 2 1 2 1
direct
0.000 0.500 0.250
0.500 0.000 0.750
0.500 0.500 0.000
0.000 0.000 0.500
0.000 0.000 0.000
0.500 0.000 0.251
0.000 0.500 0.749
0.500 0.500 0.500
```

The calculation puts the final energy at -2.38 eV/atom.

***

No. 12
Density functional theory data (PBE-GGA) for Ho2Ag2GePb after structural relaxation.

Cell and atoms, written as POSCAR:
```
Ho2Ag2GePb
1.0
4.658 0.000 0.000
-2.329 4.034 0.000
0.000 0.000 7.382
Ag Ge Ho Pb
2 1 2 1
direct
0.000 0.000 0.345
0.667 0.333 0.810
0.000 0.000 0.731
0.333 0.667 0.011
0.333 0.667 0.530
0.667 0.333 0.233
```

The calculation puts the final energy at -4.33 eV/atom. The total magnetization comes out at 0.000 μB/f.u.

***

No. 13
Density functional theory data (PBE-GGA) for SmZnGe after structural relaxation.

Cell and atoms, written as POSCAR:
```
SmZnGe
1.0
0.000 3.226 3.226
3.226 0.000 3.226
3.226 3.226 0.000
Ge Sm Zn
1 1 1
direct
0.250 0.250 0.250
0.750 0.750 0.750
0.000 0.000 0.000
```

The calculation puts the final energy at -3.90 eV/atom. The total magnetization comes out at 0.001 μB/f.u.

***

No. 14
Density functional theory data (PBE-GGA) for Co12P7 after structural relaxation.

Cell and atoms, written as POSCAR:
```
Co12P7
1.0
-3.308 4.393 -6.303
1.272 -8.223 -0.849
-3.042 -0.593 1.183
Co P
12 7
direct
0.015 0.263 0.000
0.376 0.509 0.000
0.133 0.624 0.000
0.737 0.751 0.000
0.491 0.867 0.000
0.249 0.985 0.000
0.793 0.008 0.500
0.518 0.137 0.500
0.215 0.207 0.500
0.863 0.381 0.500
0.619 0.482 0.500
0.992 0.785 0.500
0.000 0.000 0.000
0.719 0.161 0.000
0.443 0.281 0.000
0.839 0.557 0.000
0.162 0.446 0.500
0.554 0.716 0.500
0.284 0.838 0.500
```

The calculation puts the final energy at -7.01 eV/atom. The total magnetization comes out at 0.049 μB/f.u.

***

No. 15
Density functional theory data (PBE-GGA) for BaDyTlSe3 after structural relaxation.

Cell and atoms, written as POSCAR:
```
BaDyTlSe3
1.0
2.132 -7.752 0.000
2.132 7.752 0.000
0.000 0.000 12.201
Ba Dy Se Tl
2 2 6 2
direct
0.665 0.335 0.250
0.335 0.665 0.750
0.000 0.000 0.000
0.000 0.000 0.500
0.623 0.377 0.001
0.006 0.994 0.250
0.623 0.377 0.499
0.377 0.623 0.501
0.994 0.006 0.750
0.377 0.623 0.999
0.370 0.630 0.250
0.630 0.370 0.750
```

The calculation puts the final energy at -4.61 eV/atom. The total magnetization comes out at 0.002 μB/f.u.

***

No. 16
Density functional theory data (PBE-GGA) for Zr4Sc2Zn3C3 after structural relaxation.

Cell and atoms, written as POSCAR:
```
Zr4Sc2Zn3C3
1.0
-0.851 5.168 -2.335
-5.338 1.939 -0.796
2.314 3.657 14.417
C Sc Zn Zr
6 4 6 8
direct
0.000 0.500 0.000
0.332 0.836 0.000
0.164 0.668 0.500
0.500 0.000 0.500
0.836 0.332 0.500
0.668 0.164 0.000
0.371 0.531 0.093
0.469 0.629 0.407
0.531 0.371 0.593
0.629 0.469 0.907
0.889 0.585 0.250
0.928 0.072 0.250
0.415 0.111 0.250
0.585 0.889 0.750
0.072 0.928 0.750
0.111 0.415 0.750
0.022 0.200 0.084
0.694 0.857 0.084
0.143 0.306 0.416
0.800 0.978 0.416
0.200 0.022 0.584
0.857 0.694 0.584
0.306 0.143 0.916
0.978 0.800 0.916
```

The calculation puts the final energy at -7.01 eV/atom. The total magnetization comes out at 0.223 μB/f.u.